BeTcNi | PBE | optimized geometry

- Offset from the most stable computed form: 0.500 eV per atom
- ΔH_f (0 K): 344 meV/atom
- Volume: 39.1 Å³/f.u.
- D(E_F): 16.33 states/eV/cell
- Crystal system: cubic
- VASP energy: -0.4616 Ry/atom

```
data_BeTcNi
_chemical_formula_sum 'Be4 Tc4 Ni4'
_symmetry_space_group_name_H-M 'F -4 3 m'
_symmetry_Int_Tables_number 216
_symmetry_space_group_name_Hall 'F -4 2 3'
_cell_length_a 5.387
_cell_length_b 5.387
_cell_length_c 5.387
_cell_angle_alpha 90.00
_cell_angle_beta 90.00
_cell_angle_gamma 90.00
loop_
_atom_site_label
_atom_site_fract_x
_atom_site_fract_y
_atom_site_fract_z
Be1 0.000 0.000 0.000
Tc1 0.000 0.000 0.500
Ni1 0.250 0.250 0.250
```


BeTc2Ni | PBE | optimized geometry

- ΔH_f (0 K): 49 meV/atom
- Volume: 49.6 Å³/f.u.
- D(E_F): 3.99 states/eV/cell
- Crystal system: tetragonal
- VASP energy: -0.5520 Ry/atom

```
data_BeTc2Ni
_chemical_formula_sum 'Be1 Tc2 Ni1'
_symmetry_space_group_name_H-M 'P 4/m m m'
_symmetry_Int_Tables_number 123
_symmetry_space_group_name_Hall '-P 4 2'
_cell_length_a 3.552
_cell_length_b 3.552
_cell_length_c 3.929
_cell_angle_alpha 90.00
_cell_angle_beta 90.00
_cell_angle_gamma 90.00
loop_
_atom_site_label
_atom_site_fract_x
_atom_site_fract_y
_atom_site_fract_z
Be1 0.000 0.000 0.000
Tc1 0.000 0.500 0.500
Ni1 0.500 0.500 0.000
```


Be2TcNi | PBE | optimized geometry

- Offset from the most stable computed form: 0.290 eV per atom
- ΔH_f (0 K): 42 meV/atom
- Volume: 43.5 Å³/f.u.
- D(E_F): 10.07 states/eV/cell
- Crystal system: cubic
- VASP energy: -0.4306 Ry/atom

```
data_Be2TcNi
_chemical_formula_sum 'Be8 Tc4 Ni4'
_symmetry_space_group_name_H-M 'F -4 3 m'
_symmetry_Int_Tables_number 216
_symmetry_space_group_name_Hall 'F -4 2 3'
_cell_length_a 5.584
_cell_length_b 5.584
_cell_length_c 5.584
_cell_angle_alpha 90.00
_cell_angle_beta 90.00
_cell_angle_gamma 90.00
loop_
_atom_site_label
_atom_site_fract_x
_atom_site_fract_y
_atom_site_fract_z
Be1 0.000 0.000 0.000
Be2 0.250 0.250 0.250
Tc1 0.000 0.000 0.500
Ni1 0.250 0.250 0.750
```